No. 1
DFT (GGA-PBE) results for crystalline Ac3CuAg2 at its relaxed geometry.

Computed properties:
Relative energy among the computed polymorphs (meV/atom): 0
Calculated density (g/cm³): 8.87
DOS(E_F) (states/eV per cell): 3.76
SG: No. 123
Energy of formation from the pure elements (kJ/mol of atoms): -19.5

Cell: 3.8977 3.8977 11.8320 Å, 90.00 90.00 90.00°
Atoms (fractional coordinates):
Ac  0.0000  0.0000  0.0000
Ac  0.0000  0.0000  0.6575
Ac  0.0000  0.0000  0.3425
Cu  0.5000  0.5000  0.5000
Ag  0.5000  0.5000  0.8296
Ag  0.5000  0.5000  0.1704


No. 2
DFT (GGA-PBE) results for crystalline KCr3 at its relaxed geometry.

Computed properties:
Relative energy among the computed polymorphs (meV/atom): 899
Calculated density (g/cm³): 5.12
DOS(E_F) (states/eV per cell): 5.17
SG: No. 65
Energy of formation from the pure elements (kJ/mol of atoms): 163.4

Cell: 5.5378 5.5378 2.4706 Å, 90.00 90.00 123.37°
Site moments in Bohr magnetons follow the coordinates.
Atoms (fractional coordinates):
Cr  0.0000  0.5000  0.5000  -0.67
Cr  0.5000  0.0000  0.5000  -0.67
Cr  0.5000  0.5000  0.0000  2.09
K  0.0000  0.0000  0.0000  0.03


No. 3
DFT (GGA-PBE) results for crystalline NpInHg2 at its relaxed geometry.

Computed properties:
Calculated density (g/cm³): 12.64
DOS(E_F) (states/eV per cell): 9.75
SG: No. 216
Energy of formation from the pure elements (kJ/mol of atoms): 17.7

Cell: 5.1916 5.1916 5.1915 Å, 60.00 60.00 60.00°
Site moments in Bohr magnetons follow the coordinates.
Atoms (fractional coordinates):
Np  0.4999  0.4999  0.5003  4.12
In  0.7500  0.7500  0.7500  0.03
Hg  0.0002  0.0002  0.9995  -0.01
Hg  0.2499  0.2499  0.2502  0.01


No. 4
DFT (GGA-PBE) results for crystalline CaSb2TeW at its relaxed geometry.

Computed properties:
Relative energy among the computed polymorphs (meV/atom): 1583
Calculated density (g/cm³): 5.82
DOS(E_F) (states/eV per cell): 8.30
SG: No. 123
Raw formation energy (eV per formula unit): 9.00

Cell: 5.5451 5.5451 5.5242 Å, 90.00 90.00 90.00°
Site moments in Bohr magnetons follow the coordinates.
Atoms (fractional coordinates):
Sb  0.0000  0.5000  0.0000  0.00
Sb  0.5000  0.0000  0.0000  0.00
Ca  0.0000  0.0000  0.0000  -0.01
Te  0.0000  0.0000  0.5000  0.01
W  0.5000  0.5000  0.5000  -0.48


No. 5
DFT (GGA-PBE) results for crystalline KZrTa2 at its relaxed geometry.

Computed properties:
Relative energy among the computed polymorphs (meV/atom): 517
Calculated density (g/cm³): 8.34
DOS(E_F) (states/eV per cell): 4.52
SG: No. 44
Energy of formation from the pure elements (kJ/mol of atoms): 102.1

Cell: 6.5309 6.5309 6.5309 Å, 154.22 125.42 61.31°
Atoms (fractional coordinates):
K  0.2424  0.7424  0.5000
Ta  0.9626  0.9626  0.0000
Ta  0.7630  0.2630  0.5000
Zr  0.5320  0.5320  0.0000


No. 6
DFT (GGA-PBE) results for crystalline NaAl2Ga3 at its relaxed geometry.

Computed properties:
Calculated density (g/cm³): 3.73
DOS(E_F) (states/eV per cell): 4.19
SG: No. 63
Energy of formation from the pure elements (kJ/mol of atoms): 2.5

Cell: 5.3937 6.8818 6.8818 Å, 94.56 90.00 90.00°
Atoms (fractional coordinates):
Na  0.2500  0.3178  0.3178
Na  0.7500  0.6822  0.6822
Al  0.5000  0.7626  0.2374
Al  0.0000  0.7626  0.2374
Al  0.0000  0.2374  0.7626
Al  0.5000  0.2374  0.7626
Ga  0.7500  0.4452  0.0858
Ga  0.7500  0.0858  0.4452
Ga  0.2500  0.5548  0.9142
Ga  0.7500  0.0497  0.0497
Ga  0.2500  0.9503  0.9503
Ga  0.2500  0.9142  0.5548


No. 7
DFT (GGA-PBE) results for crystalline Ti2ReNiSn at its relaxed geometry.

Computed properties:
Calculated density (g/cm³): 6.76
DOS(E_F) (states/eV per cell): 6.05
SG: No. 123
Energy of formation from the pure elements (kJ/mol of atoms): 84.9

Cell: 4.7116 5.0836 4.7116 Å, 90.00 90.00 90.00°
Atoms (fractional coordinates):
Re  0.0000  0.0000  0.0000
Ti  0.0000  0.0000  0.5000
Ti  0.5000  0.0000  0.0000
Sn  0.0000  0.5000  0.0000
Ni  0.5000  0.5000  0.5000


No. 8
DFT (GGA-PBE) results for crystalline Ba2Tl9Rh3 at its relaxed geometry.

Computed properties:
Calculated density (g/cm³): 11.16
DOS(E_F) (states/eV per cell): 13.99
SG: No. 15
Energy of formation from the pure elements (kJ/mol of atoms): -12.5

Cell: 8.7144 8.7144 12.1087 Å, 89.99 110.59 120.77°
Atoms (fractional coordinates):
Ba  0.3411  0.2472  0.7508
Ba  0.6589  0.7528  0.2492
Ba  0.9964  0.5902  0.7492
Ba  0.0036  0.4098  0.2508
Tl  0.4441  0.9180  0.7477
Tl  0.5559  0.0820  0.2523
Tl  0.6704  0.6965  0.7523
Tl  0.3296  0.3035  0.2477
Tl  0.4365  0.6322  0.9243
Tl  0.5635  0.3678  0.0757
Tl  0.2078  0.5121  0.5757
Tl  0.7922  0.4879  0.4243
Tl  0.9033  0.1533  0.7500
Tl  0.0967  0.8467  0.2500
Tl  0.1418  0.9891  0.9508
Tl  0.8582  0.0109  0.0492
Tl  0.5383  0.1909  0.5492
Tl  0.4617  0.8091  0.4508
Tl  0.8850  0.8605  0.5727
Tl  0.1150  0.1395  0.4273
Tl  0.7877  0.3122  0.9273
Tl  0.2123  0.6878  0.0727
Rh  0.5000  0.0000  0.0000
Rh  0.5000  0.5000  0.5000
Rh  0.8311  0.1654  0.4978
Rh  0.1689  0.8346  0.5022
Rh  0.1677  0.3333  0.0022
Rh  0.8323  0.6667  0.9978


No. 9
DFT (GGA-PBE) results for crystalline Pm2SnF at its relaxed geometry.

Computed properties:
Relative energy among the computed polymorphs (meV/atom): 149
Calculated density (g/cm³): 7.61
DOS(E_F) (states/eV per cell): 3.38
SG: No. 123
Raw formation energy (eV per formula unit): -5.03

Cell: 3.4040 3.4040 8.0566 Å, 90.00 90.00 90.00°
Atoms (fractional coordinates):
F  0.5000  0.5000  0.0000
Sn  0.5000  0.5000  0.5000
Pm  0.0000  0.0000  0.7694
Pm  0.0000  0.0000  0.2306


No. 10
DFT (GGA-PBE) results for crystalline TeWSCl2 at its relaxed geometry.

Computed properties:
Relative energy among the computed polymorphs (meV/atom): 0
Calculated density (g/cm³): 6.22
DOS(E_F) (states/eV per cell): 6.13
SG: No. 123
Raw formation energy (eV per formula unit): 1.29

Cell: 4.8354 4.8354 4.7348 Å, 90.00 90.00 90.00°
Site moments in Bohr magnetons follow the coordinates.
Atoms (fractional coordinates):
S  0.0000  0.0000  0.5000  -0.01
Te  0.5000  0.5000  0.5000  0.48
W  0.0000  0.0000  0.0000  0.09
Cl  0.0000  0.5000  0.0000  0.04
Cl  0.5000  0.0000  0.0000  0.04


No. 11
DFT (GGA-PBE) results for crystalline BeCuNi2H at its relaxed geometry.

Computed properties:
Relative energy among the computed polymorphs (meV/atom): 19
Calculated density (g/cm³): 7.27
DOS(E_F) (states/eV per cell): 1.39
SG: No. 123

Cell: 3.5346 3.5346 3.4917 Å, 90.00 90.00 90.00°
Atoms (fractional coordinates):
Ni  0.0000  0.5000  0.0000
Ni  0.5000  0.0000  0.0000
H  0.0000  0.0000  0.0000
Cu  0.5000  0.5000  0.5000
Be  0.0000  0.0000  0.5000


No. 12
DFT (GGA-PBE) results for crystalline BeZn2AgRu at its relaxed geometry.

Computed properties:
Calculated density (g/cm³): 6.39
DOS(E_F) (states/eV per cell): 3.84
SG: No. 123
Energy of formation from the pure elements (kJ/mol of atoms): 108.7

Cell: 4.6593 4.1768 4.6593 Å, 90.00 90.00 90.00°
Site moments in Bohr magnetons follow the coordinates.
Atoms (fractional coordinates):
Ru  0.5000  0.5000  0.5000  1.18
Zn  0.0000  0.0000  0.5000  -0.02
Zn  0.5000  0.0000  0.0000  -0.01
Ag  0.0000  0.0000  0.0000  0.00
Be  0.0000  0.5000  0.0000  -0.02


No. 13
DFT (GGA-PBE) results for crystalline NiGe at its relaxed geometry.

Computed properties:
Calculated density (g/cm³): 5.86
DOS(E_F) (states/eV per cell): 4.03
SG: No. 140
Energy of formation from the pure elements (kJ/mol of atoms): -2.3

Cell: 8.1066 8.1066 4.5312 Å, 90.00 90.00 90.00°
Atoms (fractional coordinates):
Ni  0.6781  0.1781  0.0000
Ni  0.6781  0.8219  0.5000
Ni  0.3219  0.1781  0.5000
Ni  0.3219  0.8219  0.0000
Ni  0.8219  0.3219  0.5000
Ni  0.8219  0.6781  0.0000
Ni  0.1781  0.3219  0.0000
Ni  0.1781  0.6781  0.5000
Ge  0.8813  0.3813  0.0000
Ge  0.8813  0.6187  0.5000
Ge  0.1187  0.3813  0.5000
Ge  0.1187  0.6187  0.0000
Ge  0.6187  0.1187  0.5000
Ge  0.6187  0.8813  0.0000
Ge  0.3813  0.1187  0.0000
Ge  0.3813  0.8813  0.5000


No. 14
DFT (GGA-PBE) results for crystalline ScTl at its relaxed geometry.

Computed properties:
Calculated density (g/cm³): 7.86
DOS(E_F) (states/eV per cell): 4.45
SG: No. 189
Energy of formation from the pure elements (kJ/mol of atoms): -7.0

Cell: 7.3308 7.3308 3.3941 Å, 90.00 90.00 120.00°
Site moments in Bohr magnetons follow the coordinates.
Atoms (fractional coordinates):
Sc  0.2455  0.0000  0.5000  0.18
Sc  0.0000  0.2455  0.5000  0.18
Sc  0.7545  0.7545  0.5000  0.18
Tl  0.5840  0.0000  0.0000  0.00
Tl  0.0000  0.5840  0.0000  0.00
Tl  0.4160  0.4160  0.0000  0.00


No. 15
DFT (GGA-PBE) results for crystalline La7PrY4 at its relaxed geometry.

Computed properties:
Calculated density (g/cm³): 5.63
DOS(E_F) (states/eV per cell): 19.93
SG: No. 12
Energy of formation from the pure elements (kJ/mol of atoms): 18.2

Cell: 6.1328 9.8659 8.8038 Å, 61.86 69.62 71.89°
Site moments in Bohr magnetons follow the coordinates.
Atoms (fractional coordinates):
La  0.7866  0.8867  0.5401  0.00
La  0.2134  0.1133  0.4599  0.00
La  0.0861  0.5489  0.2788  0.00
La  0.9139  0.4511  0.7212  0.00
La  0.2124  0.7664  0.8088  0.00
La  0.5000  0.0000  0.0000  0.09
La  0.7876  0.2336  0.1912  0.00
Pr  0.0000  0.0000  0.0000  0.09
Y  0.5702  0.3007  0.5589  0.00
Y  0.4298  0.6993  0.4411  0.00
Y  0.6692  0.6160  0.0457  0.00
Y  0.3308  0.3840  0.9543  0.00


No. 16
DFT (GGA-PBE) results for crystalline Mn2CoBr at its relaxed geometry.

Computed properties:
Relative energy among the computed polymorphs (meV/atom): 0
Calculated density (g/cm³): 6.07
DOS(E_F) (states/eV per cell): 2.24
SG: No. 10
Raw formation energy (eV per formula unit): 0.90

Cell: 3.0644 3.1440 7.0637 Å, 90.48 90.00 90.00°
Site moments in Bohr magnetons follow the coordinates.
Atoms (fractional coordinates):
Br  0.5000  0.2500  0.2500  0.02
Co  0.5000  0.7500  0.7500  1.58
Mn  0.0000  0.2538  0.9421  3.66
Mn  0.0000  0.2462  0.5579  3.66


No. 17
DFT (GGA-PBE) results for crystalline Nb3ReSb at its relaxed geometry.

Computed properties:
Relative energy among the computed polymorphs (meV/atom): 1091
Calculated density (g/cm³): 8.25
DOS(E_F) (states/eV per cell): 6.42
SG: No. 221
Raw formation energy (eV per formula unit): 10.19

Cell: 4.9061 4.9061 4.9061 Å, 90.00 90.00 90.00°
Atoms (fractional coordinates):
Re  0.5000  0.5000  0.5000
Nb  0.0000  0.5000  0.0000
Nb  0.0000  0.0000  0.5000
Nb  0.5000  0.0000  0.0000
Sb  0.0000  0.0000  0.0000


No. 18
DFT (GGA-PBE) results for crystalline OsBr2Cl at its relaxed geometry.

Computed properties:
Relative energy among the computed polymorphs (meV/atom): 440
Calculated density (g/cm³): 5.65
DOS(E_F) (states/eV per cell): 6.07
SG: No. 166
Raw formation energy (eV per formula unit): 1.78

Cell: 9.4677 9.4677 9.4677 Å, 22.95 22.95 22.95°
Site moments in Bohr magnetons follow the coordinates.
Atoms (fractional coordinates):
Os  0.5000  0.5000  0.5000  0.27
Br  0.8804  0.8804  0.8804  0.03
Br  0.1196  0.1196  0.1196  0.03
Cl  0.0000  0.0000  0.0000  0.48


No. 19
DFT (GGA-PBE) results for crystalline ZrTl2Br at its relaxed geometry.

Computed properties:
Relative energy among the computed polymorphs (meV/atom): 497
Calculated density (g/cm³): 9.14
DOS(E_F) (states/eV per cell): 2.84
SG: No. 119
Raw formation energy (eV per formula unit): 0.40

Cell: 6.2416 6.2416 6.2416 Å, 138.57 138.57 60.04°
Atoms (fractional coordinates):
Tl  0.0000  0.0000  0.0000
Tl  0.2500  0.7500  0.5000
Br  0.7500  0.2500  0.5000
Zr  0.5000  0.5000  0.0000


No. 20
DFT (GGA-PBE) results for crystalline SrCdHgIr2 at its relaxed geometry.

Computed properties:
Calculated density (g/cm³): 9.72
DOS(E_F) (states/eV per cell): 4.39
SG: No. 123
Energy of formation from the pure elements (kJ/mol of atoms): 88.6

Cell: 5.1379 5.0798 5.1379 Å, 90.00 90.00 90.00°
Atoms (fractional coordinates):
Sr  0.5000  0.5000  0.5000
Ir  0.0000  0.0000  0.5000
Ir  0.5000  0.0000  0.0000
Hg  0.0000  0.0000  0.0000
Cd  0.0000  0.5000  0.0000